DFT (GGA-PBE) results for a relaxed structure of PmZr3Sb2.

Properties
* formation energy (no corrections): -0.57 eV per atom
* volume: 25.1 A^3/atom
* uncorrected energy: -168.28 eV per cell
* D(E_F): 5.22 states/eV/f.u.

Cell and atoms, written as CIF:
```
data_PmZr3Sb2
_space_group_name_H-M_alt 'C 1 2/m 1'
_space_group_IT_number 12
_space_group_name_Hall '-C 2y'
_cell_length_a 17.901
_cell_length_b 4.108
_cell_length_c 9.012
_cell_angle_alpha 90.00
_cell_angle_beta 114.43
_cell_angle_gamma 90.00
loop_
_atom_site_label
_atom_site_type_symbol
_atom_site_fract_x
_atom_site_fract_y
_atom_site_fract_z
Pm1 Pm 0.112 0.000 0.127
Zr1 Zr 0.061 0.000 0.659
Zr2 Zr 0.149 0.500 0.482
Zr3 Zr 0.187 0.500 0.894
Sb1 Sb 0.011 0.500 0.825
Sb2 Sb 0.245 0.000 0.722
```